## P
DFT (PBE) results for a geometry-optimized TbYMgRu structure.

```
data_TbYMgRu
_symmetry_space_group_name_H-M 'P 4 m m'
_symmetry_Int_Tables_number 99
_symmetry_space_group_name_Hall 'P 4 -2'
_cell_length_a 3.4632
_cell_length_b 3.4632
_cell_length_c 8.0622
_cell_angle_alpha 90.00
_cell_angle_beta 90.00
_cell_angle_gamma 90.00
loop_
_atom_site_label
_atom_site_fract_x
_atom_site_fract_y
_atom_site_fract_z
Tb1 0.0000 0.0000 0.0000
Y1 0.0000 0.0000 0.5899
Mg1 0.5000 0.5000 0.2973
Ru1 0.5000 0.5000 0.7963
```


## Q
DFT (PBE) results for a geometry-optimized TbYMgRu structure.

```
data_TbYMgRu
_symmetry_space_group_name_H-M 'F -4 3 m'
_symmetry_Int_Tables_number 216
_symmetry_space_group_name_Hall 'F -4 2 3'
_cell_length_a 7.1271
_cell_length_b 7.1271
_cell_length_c 7.1271
_cell_angle_alpha 90.00
_cell_angle_beta 90.00
_cell_angle_gamma 90.00
loop_
_atom_site_label
_atom_site_fract_x
_atom_site_fract_y
_atom_site_fract_z
Tb1 0.0000 0.0000 0.0000
Y1 0.0000 0.0000 0.5000
Mg1 0.2500 0.2500 0.2500
Ru1 0.2500 0.2500 0.7500
```


Which one is most stable, and which one is least stable? P is the most stable of them, while Q is the least stable.


## P
DFT (PBE) results for a geometry-optimized Mg2TcRu structure.

```
data_Mg2TcRu
_symmetry_space_group_name_H-M 'R -3 m'
_symmetry_Int_Tables_number 166
_symmetry_space_group_name_Hall '-R 3 2"'
_cell_length_a 2.8293
_cell_length_b 2.8293
_cell_length_c 27.2958
_cell_angle_alpha 90.00
_cell_angle_beta 90.00
_cell_angle_gamma 120.00
loop_
_atom_site_label
_atom_site_fract_x
_atom_site_fract_y
_atom_site_fract_z
Mg1 0.0000 0.0000 0.2478
Tc1 0.0000 0.0000 0.0000
Ru1 0.0000 0.0000 0.5000
```


## Q
DFT (PBE) results for a geometry-optimized Mg2TcRu structure.

```
data_Mg2TcRu
_symmetry_space_group_name_H-M 'I -4 m 2'
_symmetry_Int_Tables_number 119
_symmetry_space_group_name_Hall 'I -4 -2'
_cell_length_a 4.4333
_cell_length_b 4.4333
_cell_length_c 6.2902
_cell_angle_alpha 90.00
_cell_angle_beta 90.00
_cell_angle_gamma 90.00
loop_
_atom_site_label
_atom_site_fract_x
_atom_site_fract_y
_atom_site_fract_z
Mg1 0.0000 0.0000 0.0000
Mg2 0.0000 0.5000 0.2500
Tc1 0.0000 0.0000 0.5000
Ru1 0.0000 0.5000 0.7500
```


## R
DFT (PBE) results for a geometry-optimized Mg2TcRu structure.

```
data_Mg2TcRu
_symmetry_space_group_name_H-M 'P 4 m m'
_symmetry_Int_Tables_number 99
_symmetry_space_group_name_Hall 'P 4 -2'
_cell_length_a 3.0080
_cell_length_b 3.0080
_cell_length_c 7.3424
_cell_angle_alpha 90.00
_cell_angle_beta 90.00
_cell_angle_gamma 90.00
loop_
_atom_site_label
_atom_site_fract_x
_atom_site_fract_y
_atom_site_fract_z
Mg1 0.0000 0.0000 0.0000
Mg2 0.5000 0.5000 0.3116
Tc1 0.5000 0.5000 0.7516
Ru1 0.0000 0.0000 0.5492
```


Which one is most stable, and which one is least stable? R is the most stable of them, while P is the least stable.


## P
DFT (PBE) results for a geometry-optimized Mg2TcRu structure.

```
data_Mg2TcRu
_symmetry_space_group_name_H-M 'P m m m'
_symmetry_Int_Tables_number 47
_symmetry_space_group_name_Hall '-P 2 2'
_cell_length_a 3.1632
_cell_length_b 4.4291
_cell_length_c 4.4848
_cell_angle_alpha 90.00
_cell_angle_beta 90.00
_cell_angle_gamma 90.00
loop_
_atom_site_label
_atom_site_fract_x
_atom_site_fract_y
_atom_site_fract_z
Mg1 0.0000 0.0000 0.0000
Mg2 0.5000 0.5000 0.0000
Tc1 0.0000 0.5000 0.5000
Ru1 0.5000 0.0000 0.5000
```


## Q
DFT (PBE) results for a geometry-optimized Mg2TcRu structure.

```
data_Mg2TcRu
_symmetry_space_group_name_H-M 'F m -3 m'
_symmetry_Int_Tables_number 225
_symmetry_space_group_name_Hall '-F 4 2 3'
_cell_length_a 6.3669
_cell_length_b 6.3669
_cell_length_c 6.3669
_cell_angle_alpha 90.00
_cell_angle_beta 90.00
_cell_angle_gamma 90.00
loop_
_atom_site_label
_atom_site_fract_x
_atom_site_fract_y
_atom_site_fract_z
Mg1 0.2500 0.2500 0.2500
Tc1 0.0000 0.0000 0.0000
Ru1 0.0000 0.0000 0.5000
```


## R
DFT (PBE) results for a geometry-optimized Mg2TcRu structure.

```
data_Mg2TcRu
_symmetry_space_group_name_H-M 'I -4 2 d'
_symmetry_Int_Tables_number 122
_symmetry_space_group_name_Hall 'I -4 2bw'
_cell_length_a 7.1679
_cell_length_b 7.1679
_cell_length_c 5.2450
_cell_angle_alpha 90.00
_cell_angle_beta 90.00
_cell_angle_gamma 90.00
loop_
_atom_site_label
_atom_site_fract_x
_atom_site_fract_y
_atom_site_fract_z
Mg1 0.2413 0.2500 0.1250
Tc1 0.0000 0.0000 0.5000
Ru1 0.0000 0.0000 0.0000
```


Which one is most stable, and which one is least stable? P is the most stable of them, while R is the least stable.


## P
DFT (PBE) results for a geometry-optimized Mg2TcRu structure.

```
data_Mg2TcRu
_symmetry_space_group_name_H-M 'I m m m'
_symmetry_Int_Tables_number 71
_symmetry_space_group_name_Hall '-I 2 2'
_cell_length_a 3.1706
_cell_length_b 4.4112
_cell_length_c 8.9919
_cell_angle_alpha 90.00
_cell_angle_beta 90.00
_cell_angle_gamma 90.00
loop_
_atom_site_label
_atom_site_fract_x
_atom_site_fract_y
_atom_site_fract_z
Mg1 0.0000 0.0000 0.2455
Tc1 0.0000 0.5000 0.0000
Ru1 0.0000 0.5000 0.5000
```


## Q
DFT (PBE) results for a geometry-optimized Mg2TcRu structure.

```
data_Mg2TcRu
_symmetry_space_group_name_H-M 'C m m m'
_symmetry_Int_Tables_number 65
_symmetry_space_group_name_Hall '-C 2 2'
_cell_length_a 3.1729
_cell_length_b 4.4408
_cell_length_c 8.9285
_cell_angle_alpha 90.00
_cell_angle_beta 90.00
_cell_angle_gamma 90.00
loop_
_atom_site_label
_atom_site_fract_x
_atom_site_fract_y
_atom_site_fract_z
Mg1 0.0000 0.0000 0.2441
Tc1 0.0000 0.5000 0.5000
Ru1 0.0000 0.5000 0.0000
```


## R
DFT (PBE) results for a geometry-optimized Mg2TcRu structure.

```
data_Mg2TcRu
_symmetry_space_group_name_H-M 'I m m 2'
_symmetry_Int_Tables_number 44
_symmetry_space_group_name_Hall 'I 2 -2'
_cell_length_a 3.0326
_cell_length_b 4.6353
_cell_length_c 9.2650
_cell_angle_alpha 90.00
_cell_angle_beta 90.00
_cell_angle_gamma 90.00
loop_
_atom_site_label
_atom_site_fract_x
_atom_site_fract_y
_atom_site_fract_z
Mg1 0.0000 0.0000 0.0000
Mg2 0.0000 0.5000 0.2204
Tc1 0.0000 0.0000 0.4626
Ru1 0.0000 0.5000 0.7479
```


Which one is most stable, and which one is least stable? R is the most stable of them, while P is the least stable.


## P
DFT (PBE) results for a geometry-optimized Mg2TcRu structure.

```
data_Mg2TcRu
_symmetry_space_group_name_H-M 'P 1 2/m 1'
_symmetry_Int_Tables_number 10
_symmetry_space_group_name_Hall '-P 2y'
_cell_length_a 2.7476
_cell_length_b 4.4609
_cell_length_c 5.2465
_cell_angle_alpha 90.00
_cell_angle_beta 102.10
_cell_angle_gamma 90.00
loop_
_atom_site_label
_atom_site_fract_x
_atom_site_fract_y
_atom_site_fract_z
Mg1 0.2347 0.0000 0.2524
Tc1 0.5000 0.5000 0.0000
Ru1 0.0000 0.5000 0.5000
```


## Q
DFT (PBE) results for a geometry-optimized Mg2TcRu structure.

```
data_Mg2TcRu
_symmetry_space_group_name_H-M 'P 4/m m m'
_symmetry_Int_Tables_number 123
_symmetry_space_group_name_Hall '-P 4 2'
_cell_length_a 3.8183
_cell_length_b 3.8183
_cell_length_c 4.3384
_cell_angle_alpha 90.00
_cell_angle_beta 90.00
_cell_angle_gamma 90.00
loop_
_atom_site_label
_atom_site_fract_x
_atom_site_fract_y
_atom_site_fract_z
Mg1 0.0000 0.5000 0.0000
Tc1 0.0000 0.0000 0.5000
Ru1 0.5000 0.5000 0.5000
```


## R
DFT (PBE) results for a geometry-optimized Mg2TcRu structure.

```
data_Mg2TcRu
_symmetry_space_group_name_H-M 'C 1 m 1'
_symmetry_Int_Tables_number 8
_symmetry_space_group_name_Hall 'C -2y'
_cell_length_a 8.9658
_cell_length_b 2.8687
_cell_length_c 5.0491
_cell_angle_alpha 90.00
_cell_angle_beta 97.44
_cell_angle_gamma 90.00
loop_
_atom_site_label
_atom_site_fract_x
_atom_site_fract_y
_atom_site_fract_z
Mg1 0.0000 0.0000 0.0000
Mg2 0.2395 0.0000 0.7523
Tc1 0.2520 0.5000 0.2820
Ru1 0.4917 0.0000 0.4676
```


## S
DFT (PBE) results for a geometry-optimized Mg2TcRu structure.

```
data_Mg2TcRu
_symmetry_space_group_name_H-M 'C m m 2'
_symmetry_Int_Tables_number 35
_symmetry_space_group_name_Hall 'C 2 -2'
_cell_length_a 3.0624
_cell_length_b 4.6626
_cell_length_c 9.3289
_cell_angle_alpha 90.00
_cell_angle_beta 90.00
_cell_angle_gamma 90.00
loop_
_atom_site_label
_atom_site_fract_x
_atom_site_fract_y
_atom_site_fract_z
Mg1 0.0000 0.0000 0.0000
Mg2 0.0000 0.5000 0.2905
Tc1 0.0000 0.5000 0.7508
Ru1 0.0000 0.0000 0.5310
```


Which one is most stable, and which one is least stable? R is the most stable of them, while Q is the least stable.


## P
DFT (PBE) results for a geometry-optimized Mg2TcRu structure.

```
data_Mg2TcRu
_symmetry_space_group_name_H-M 'C 1 2/m 1'
_symmetry_Int_Tables_number 12
_symmetry_space_group_name_Hall '-C 2y'
_cell_length_a 5.3838
_cell_length_b 8.9509
_cell_length_c 2.7323
_cell_angle_alpha 90.00
_cell_angle_beta 107.32
_cell_angle_gamma 90.00
loop_
_atom_site_label
_atom_site_fract_x
_atom_site_fract_y
_atom_site_fract_z
Mg1 0.2500 0.2500 0.0000
Tc1 0.0000 0.0000 0.5000
Ru1 0.0000 0.5000 0.5000
```


## Q
DFT (PBE) results for a geometry-optimized Mg2TcRu structure.

```
data_Mg2TcRu
_symmetry_space_group_name_H-M 'C m m m'
_symmetry_Int_Tables_number 65
_symmetry_space_group_name_Hall '-C 2 2'
_cell_length_a 5.2379
_cell_length_b 8.7014
_cell_length_c 2.7867
_cell_angle_alpha 90.00
_cell_angle_beta 90.00
_cell_angle_gamma 90.00
loop_
_atom_site_label
_atom_site_fract_x
_atom_site_fract_y
_atom_site_fract_z
Mg1 0.2500 0.2500 0.0000
Tc1 0.0000 0.0000 0.5000
Ru1 0.0000 0.5000 0.5000
```


Which one is most stable, and which one is least stable? P is the most stable of them, while Q is the least stable.